The following is a DFT calculation (PBE) of crystalline Pu2Zr3TaN6 at its relaxed geometry.

Cell lengths 5.7149, 9.8994, 5.7242 Å; angles 90.00, 109.43, 90.00 degrees
Space group C2/m (No. 12)
Asymmetric unit:
Pu1 0.0000 0.1661 0.0000
Zr1 0.0000 0.0000 0.5000
Zr2 0.0000 0.3344 0.5000
Ta1 0.0000 0.5000 0.0000
N1 0.2350 0.5000 0.7424
N2 0.2434 0.3396 0.2510

- DOS(E_F) (states/eV per cell) = 21.8
- formation energy from raw total energies (eV per atom) = -1.46

=====

The following is a DFT calculation (PBE) of crystalline Pu3Zr2TaN6 at its relaxed geometry.

Cell lengths 5.7421, 9.9455, 5.8267 Å; angles 90.00, 109.15, 90.00 degrees
Space group C2/m (No. 12)
Asymmetric unit:
Pu1 0.0000 0.0000 0.0000
Pu2 0.0000 0.3321 0.0000
Zr1 0.0000 0.1665 0.5000
Ta1 0.0000 0.5000 0.5000
N1 0.2370 0.3384 0.7269
N2 0.2467 0.5000 0.2707

- DOS(E_F) (states/eV per cell) = 39.4
- formation energy from raw total energies (eV per atom) = -1.43

=====

The following is a DFT calculation (PBE) of crystalline Tb2PuN at its relaxed geometry.

Cell lengths 3.4260, 3.4260, 28.5238 Å; angles 90.00, 90.00, 120.00 degrees
Space group R-3m (No. 166, hexagonal axes)
Asymmetric unit:
Tb1 0.0000 0.0000 0.1189
Pu1 0.0000 0.0000 0.0000
N1 0.0000 0.0000 0.5000

- ΔE to the lowest computed polymorph (meV per atom) = 0.0
- DOS(E_F) (states/eV per cell) = 30.5
- formation energy from raw total energies (eV per atom) = -0.56

=====

The following is a DFT calculation (PBE) of crystalline Tb3PuN4 at its relaxed geometry.

Cell lengths 6.9714, 9.8407, 3.4968 Å; angles 90.00, 90.00, 90.00 degrees
Space group Cmmm (No. 65)
Asymmetric unit:
Tb1 0.0000 0.0000 0.0000
Tb2 0.2500 0.2500 0.5000
Pu1 0.0000 0.5000 0.0000
N1 0.0000 0.2546 0.0000
N2 0.2424 0.5000 0.5000

- DOS(E_F) (states/eV per cell) = 14.2
- formation energy from raw total energies (eV per atom) = -1.55

=====

The following is a DFT calculation (PBE) of crystalline Tb2PuN4 at its relaxed geometry.

Cell lengths 11.7919, 3.4928, 5.8563 Å; angles 90.00, 118.81, 90.00 degrees
Space group C2/m (No. 12)
Asymmetric unit:
Tb1 0.1920 0.0000 0.1949
Pu1 0.0000 0.5000 0.5000
N1 0.1172 0.5000 0.3444
N2 0.1316 0.0000 0.7583

- DOS(E_F) (states/eV per cell) = 6.5
- formation energy from raw total energies (eV per atom) = -1.15

=====

The following is a DFT calculation (PBE) of crystalline TbPuN2 at its relaxed geometry.

Cell lengths 3.4147, 3.4147, 18.0267 Å; angles 90.00, 90.00, 120.00 degrees
Space group R3m (No. 160, hexagonal axes)
Asymmetric unit:
Tb1 0.0000 0.0000 0.0000
Pu1 0.0000 0.0000 0.1709
N1 0.0000 0.0000 0.4231
N2 0.0000 0.0000 0.5913

- DOS(E_F) (states/eV per cell) = 16.5
- formation energy from raw total energies (eV per atom) = -1.23